(1)
Density functional theory data (PBE-GGA) for a relaxed structure of Cr5MoIr6.

abc: 7.1056 7.1056 7.1056
angles: 148.96 116.22 72.62
Positions (direct):
Cr 0.0000 0.0000 0.0000
Cr 0.1692 0.6692 0.5000
Cr 0.3318 0.3318 0.0000
Cr 0.6682 0.6682 0.0000
Cr 0.8308 0.3308 0.5000
Mo 0.5000 0.0000 0.5000
Ir 0.0781 0.8321 0.2459
Ir 0.2422 0.5000 0.7422
Ir 0.4138 0.1679 0.2459
Ir 0.5862 0.8321 0.7541
Ir 0.7578 0.5000 0.2579
Ir 0.9219 0.1679 0.7541

Computed properties:
Its energy of formation is -0.20 eV per atom. For the density of states at the Fermi level, the calculation gives 1.060 states/eV/atom.

---

(2)
Density functional theory data (PBE-GGA) for a relaxed structure of CrMoIr2.

abc: 3.1975 3.1975 5.7017
angles: 90.00 90.00 90.00
Positions (direct):
Cr 0.0000 0.0000 0.0000
Mo 0.5000 0.5000 0.7260
Ir 0.0000 0.0000 0.4758
Ir 0.5000 0.5000 0.1851

Computed properties:
Its energy of formation is 0.11 eV per atom. For the density of states at the Fermi level, the calculation gives 1.266 states/eV/atom. The calculation puts the distance to the lowest polymorph of the same formula at 354 meV per atom.